(1)
This record from Alexandria via LeMat-Bulk describes a relaxed structure of NbTl6Cl12. The functional is PBE.

Output
The space group is R-3, No. 148. Its crystal system is trigonal. As for the total magnetization: 0.00 μB/cell. Its total energy is -3.46 eV/atom. The value obtained for the density of states at the Fermi level is 1.059 states/eV/atom. The value obtained for the formation energy without anion corrections is -1.02 eV/atom.

Lattice parameters (Å, degrees): 8.900 8.900 8.900 93.99 93.99 93.99
Positions (direct):
Cl: 0.023 0.269 0.997
Cl: 0.977 0.731 0.003
Cl: 0.824 0.413 0.572
Cl: 0.269 0.997 0.023
Cl: 0.428 0.176 0.587
Cl: 0.572 0.824 0.413
Cl: 0.413 0.572 0.824
Cl: 0.176 0.587 0.428
Cl: 0.003 0.977 0.731
Cl: 0.997 0.023 0.269
Cl: 0.731 0.003 0.977
Cl: 0.587 0.428 0.176
Tl: 0.162 0.357 0.656
Tl: 0.838 0.643 0.344
Tl: 0.357 0.656 0.162
Tl: 0.344 0.838 0.643
Tl: 0.643 0.344 0.838
Tl: 0.656 0.162 0.357
Nb: 0.000 0.000 0.000


(2)
This record from Alexandria via LeMat-Bulk describes a relaxed structure of HgHOF. The functional is PBE.

Output
The space group is Cm, No. 8. Its crystal system is monoclinic. As for the total magnetization: 0.00 μB/cell. Its total energy is -3.64 eV/atom. The value obtained for the energy relative to the lowest polymorph listed for this composition is 0.17 eV/f.u.

Lattice parameters (Å, degrees): 3.961 3.715 5.172 80.05 67.48 57.79
Positions (direct):
H: 0.577 0.092 0.754
F: 0.361 0.193 0.085
O: 0.706 0.043 0.545
Hg: 0.485 0.659 0.370


(3)
This record from Alexandria via LeMat-Bulk describes a relaxed structure of K3Sn2Bi2. The functional is PBE.

Output
The space group is Pbcm, No. 57. Its crystal system is orthorhombic. As for the energy of formation: -0.24 eV per atom. As for the total magnetization: 0.00 μB/cell. Its total energy is -2.96 eV/atom. The value obtained for the density of states at the Fermi level is 0.337 states/eV/atom.

Lattice parameters (Å, degrees): 6.642 10.566 16.011 90.00 90.00 90.00
Positions (direct):
Bi: 0.628 0.750 0.500
Bi: 0.207 0.564 0.750
Bi: 0.372 0.250 0.000
Bi: 0.793 0.064 0.750
Bi: 0.793 0.436 0.250
Bi: 0.372 0.250 0.500
Bi: 0.207 0.936 0.250
Bi: 0.628 0.750 0.000
Sn: 0.338 0.541 0.932
Sn: 0.338 0.959 0.432
Sn: 0.662 0.041 0.568
Sn: 0.338 0.541 0.568
Sn: 0.338 0.959 0.068
Sn: 0.662 0.459 0.432
Sn: 0.662 0.041 0.932
Sn: 0.662 0.459 0.068
K: 0.127 0.640 0.383
K: 0.873 0.360 0.617
K: 0.873 0.360 0.883
K: 0.127 0.860 0.617
K: 0.330 0.224 0.750
K: 0.670 0.724 0.750
K: 0.127 0.640 0.117
K: 0.127 0.860 0.883
K: 0.330 0.276 0.250
K: 0.873 0.140 0.117
K: 0.873 0.140 0.383
K: 0.670 0.776 0.250


(4)
This record from Alexandria via LeMat-Bulk describes a relaxed structure of CsTePb2S4. The functional is PBE.

Output
The space group is C2/c, No. 15. Its crystal system is monoclinic. As for the total magnetization: 0.00 μB/cell. Its total energy is -3.83 eV/atom. The value obtained for the density of states at the Fermi level is 0.410 states/eV/atom. The value obtained for the formation energy without anion corrections is -0.34 eV/atom.

Lattice parameters (Å, degrees): 8.516 8.516 8.505 116.79 116.79 89.28
Positions (direct):
S: 0.263 0.807 0.050
S: 0.693 0.237 0.450
S: 0.307 0.763 0.550
S: 0.681 0.706 0.434
S: 0.794 0.819 0.066
S: 0.319 0.294 0.566
S: 0.206 0.181 0.934
S: 0.737 0.193 0.950
Pb: 0.500 0.000 0.500
Pb: 0.500 0.500 0.000
Pb: 0.500 0.000 0.000
Pb: 0.000 0.000 0.500
Cs: 0.000 0.500 0.500
Cs: 0.000 0.500 0.000
Te: 0.000 0.000 0.000
Te: 0.500 0.500 0.500